(1)
Density functional theory data (PBE) for an optimized crystal structure of AcErCdIr.

Cell lengths 5.2534, 5.2534, 5.2534 Å; angles 60.00, 60.00, 60.00 degrees
With the nearest neighbours (Å) after each atom.
Element x y z (fractional)
Ac  0.0000  0.0000  0.0000  4 Cd 3.22, 4 Ir 3.22
Er  0.5000  0.5000  0.5000  4 Cd 3.22, 4 Ir 3.22
Cd  0.7500  0.7500  0.7500  4 Ac 3.22, 4 Er 3.22
Ir  0.2500  0.2500  0.2500  4 Er 3.22, 4 Ac 3.22

Results
Space-group type   F-43m, No. 216
Formation energy   -0.369 eV/atom

---

(2)
Density functional theory data (PBE) for an optimized crystal structure of AcLaErCd.

Cell lengths 3.8136, 3.8136, 9.1303 Å; angles 90.00, 90.00, 90.00 degrees
With the nearest neighbours (Å) after each atom.
Element x y z (fractional)
Ac  0.0000  0.0000  0.0000  4 Er 3.71, 4 Ac 3.81, 4 La 3.83
La  0.5000  0.5000  0.7020  4 Cd 3.44, 4 La 3.81, 4 Ac 3.83
Er  0.5000  0.5000  0.2793  4 Cd 3.20
Cd  0.0000  0.0000  0.4675  4 Er 3.20, 4 La 3.44

Results
Space-group type   P4mm, No. 99
Formation energy   -0.134 eV/atom
Energy above the most stable polymorph in this dataset   0.00 eV per formula unit

---

(3)
Density functional theory data (PBE) for an optimized crystal structure of AcLaErCd.

Cell lengths 5.7114, 5.7114, 5.7114 Å; angles 60.00, 60.00, 60.00 degrees
With the nearest neighbours (Å) after each atom.
Element x y z (fractional)
Ac  0.0000  0.0000  0.0000  4 Er 3.50, 4 La 3.50
La  0.2500  0.2500  0.2500  4 Cd 3.50, 4 Ac 3.50
Er  0.7500  0.7500  0.7500  4 Ac 3.50, 4 Cd 3.50
Cd  0.5000  0.5000  0.5000  4 La 3.50, 4 Er 3.50

Results
Space-group type   F-43m, No. 216
Formation energy   0.054 eV/atom
Energy above the most stable polymorph in this dataset   0.75 eV per formula unit

---

(4)
Density functional theory data (PBE) for an optimized crystal structure of Li2AcErCd4.

Cell lengths 9.8876, 9.8876, 9.8876 Å; angles 29.15, 29.15, 29.15 degrees
With the nearest neighbours (Å) after each atom.
Element x y z (fractional)
Li  0.2368  0.2368  0.2368  7 Cd 2.97-3.24
Li  0.7632  0.7632  0.7632  7 Cd 2.97-3.24
Ac  0.0000  0.0000  0.0000  8 Cd 3.36-3.48
Er  0.5000  0.5000  0.5000  8 Cd 2.99-3.13
Cd  0.1225  0.1225  0.1225  4 Li 2.97-3.24, 3 Er 3.13
Cd  0.3946  0.3946  0.3946  1 Er 2.99, 3 Li 3.04
Cd  0.6054  0.6054  0.6054  1 Er 2.99, 3 Li 3.04
Cd  0.8775  0.8775  0.8775  4 Li 2.97-3.24, 3 Er 3.13

Results
Space-group type   R-3m, No. 166
Formation energy   -0.228 eV/atom

---

(5)
Density functional theory data (PBE) for an optimized crystal structure of LiAcErCd.

Cell lengths 5.5057, 5.5057, 5.5057 Å; angles 60.00, 60.00, 60.00 degrees
With the nearest neighbours (Å) after each atom.
Element x y z (fractional)
Li  0.0000  0.0000  0.0000  4 Er 3.37, 4 Ac 3.37
Ac  0.2500  0.2500  0.2500  4 Cd 3.37, 4 Li 3.37
Er  0.7500  0.7500  0.7500  4 Li 3.37, 4 Cd 3.37
Cd  0.5000  0.5000  0.5000  4 Ac 3.37, 4 Er 3.37

Results
Space-group type   F-43m, No. 216
Formation energy   -0.073 eV/atom

---

(6)
Density functional theory data (PBE) for an optimized crystal structure of Ac2ErMg3Cd12.

Cell lengths 14.5795, 14.5795, 14.5795 Å; angles 25.40, 25.40, 25.40 degrees
With the nearest neighbours (Å) after each atom.
Element x y z (fractional)
Ac  0.1448  0.1448  0.1448  9 Cd 3.55-3.84, 3 Er 3.81
Ac  0.8552  0.8552  0.8552  9 Cd 3.55-3.84, 3 Er 3.81
Er  0.5000  0.5000  0.5000  6 Cd 3.08
Mg  0.0000  0.5000  0.5000  4 Cd 2.99, 4 Mg 3.20
Mg  0.5000  0.0000  0.5000  4 Cd 2.99, 4 Mg 3.20
Mg  0.5000  0.5000  0.0000  4 Cd 2.99, 4 Mg 3.20
Cd  0.1017  0.1017  0.6338  2 Mg 2.99, 4 Cd 2.99-3.00
Cd  0.1017  0.6338  0.1017  2 Mg 2.99, 4 Cd 2.99-3.00
Cd  0.1053  0.6106  0.6106  6 Cd 2.99-3.24, 1 Er 3.08
Cd  0.3662  0.8983  0.8983  2 Mg 2.99, 4 Cd 2.99-3.00
Cd  0.3894  0.3894  0.8947  6 Cd 2.99-3.24, 1 Er 3.08
Cd  0.3894  0.8947  0.3894  6 Cd 2.99-3.24, 1 Er 3.08
Cd  0.6106  0.1053  0.6106  6 Cd 2.99-3.24, 1 Er 3.08
Cd  0.6106  0.6106  0.1053  6 Cd 2.99-3.24, 1 Er 3.08
Cd  0.6338  0.1017  0.1017  2 Mg 2.99, 4 Cd 2.99-3.00
Cd  0.8947  0.3894  0.3894  6 Cd 2.99-3.24, 1 Er 3.08
Cd  0.8983  0.3662  0.8983  2 Mg 2.99, 4 Cd 2.99-3.00
Cd  0.8983  0.8983  0.3662  2 Mg 2.99, 4 Cd 2.99-3.00

Results
Space-group type   R-3m, No. 166
Formation energy   -0.036 eV/atom

---

(7)
Density functional theory data (PBE) for an optimized crystal structure of NaAcErCd.

Cell lengths 5.6353, 5.6353, 5.6353 Å; angles 60.00, 60.00, 60.00 degrees
With the nearest neighbours (Å) after each atom.
Element x y z (fractional)
Na  0.0000  0.0000  0.0000  4 Er 3.45, 4 Ac 3.45
Ac  0.2500  0.2500  0.2500  4 Cd 3.45, 4 Na 3.45
Er  0.7500  0.7500  0.7500  4 Na 3.45, 4 Cd 3.45
Cd  0.5000  0.5000  0.5000  4 Ac 3.45, 4 Er 3.45

Results
Space-group type   F-43m, No. 216
Formation energy   0.048 eV/atom

---

(8)
Density functional theory data (PBE) for an optimized crystal structure of AcNdErCd.

Cell lengths 3.8006, 3.8006, 9.0310 Å; angles 90.00, 90.00, 90.00 degrees
With the nearest neighbours (Å) after each atom.
Element x y z (fractional)
Ac  0.0000  0.0000  0.0000  4 Er 3.72, 4 Ac 3.80, 4 Nd 3.80
Nd  0.5000  0.5000  0.7020  4 Cd 3.36, 1 Er 3.77
Er  0.5000  0.5000  0.2850  4 Cd 3.20
Cd  0.0000  0.0000  0.4778  4 Er 3.20, 4 Nd 3.36

Results
Space-group type   P4mm, No. 99
Formation energy   -0.125 eV/atom
Energy above the most stable polymorph in this dataset   0.00 eV per formula unit

---

(9)
Density functional theory data (PBE) for an optimized crystal structure of AcNdErCd.

Cell lengths 5.6660, 5.6660, 5.6660 Å; angles 60.00, 60.00, 60.00 degrees
With the nearest neighbours (Å) after each atom.
Element x y z (fractional)
Ac  0.0000  0.0000  0.0000  4 Er 3.47, 4 Nd 3.47
Nd  0.7500  0.7500  0.7500  4 Ac 3.47, 4 Cd 3.47
Er  0.2500  0.2500  0.2500  4 Cd 3.47, 4 Ac 3.47
Cd  0.5000  0.5000  0.5000  4 Nd 3.47, 4 Er 3.47

Results
Space-group type   F-43m, No. 216
Formation energy   0.069 eV/atom
Energy above the most stable polymorph in this dataset   0.78 eV per formula unit

---

(10)
Density functional theory data (PBE) for an optimized crystal structure of Ac2ErCdO6.

Cell lengths 5.9738, 6.1989, 10.4206 Å; angles 90.00, 124.07, 90.00 degrees
With the nearest neighbours (Å) after each atom.
Element x y z (fractional)
Ac  0.2298  0.0551  0.2471  5 O 2.48-2.76
Ac  0.2298  0.4449  0.7471  5 O 2.48-2.76
Ac  0.7702  0.5551  0.2529  5 O 2.48-2.76
Ac  0.7702  0.9449  0.7529  5 O 2.48-2.76
Er  0.5000  0.0000  0.0000  6 O 2.22-2.24
Er  0.5000  0.5000  0.5000  6 O 2.22-2.24
Cd  0.0000  0.0000  0.5000  6 O 2.29-2.35
Cd  0.0000  0.5000  0.0000  6 O 2.29-2.35
O  0.1424  0.1945  0.9414  1 Er 2.22, 1 Cd 2.29
O  0.1424  0.3055  0.4414  1 Er 2.22, 1 Cd 2.29
O  0.2377  0.7069  0.9329  1 Er 2.24, 1 Cd 2.29, 1 Ac 2.51
O  0.2377  0.7931  0.4329  1 Er 2.24, 1 Cd 2.29, 1 Ac 2.51
O  0.3738  0.0528  0.7560  1 Er 2.23, 1 Cd 2.35, 1 Ac 2.48
O  0.3738  0.4472  0.2560  1 Er 2.23, 1 Cd 2.35, 1 Ac 2.48
O  0.6262  0.5528  0.7440  1 Er 2.23, 1 Cd 2.35, 1 Ac 2.48
O  0.6262  0.9472  0.2440  1 Er 2.23, 1 Cd 2.35, 1 Ac 2.48
O  0.7623  0.2069  0.5671  1 Er 2.24, 1 Cd 2.29, 1 Ac 2.51
O  0.7623  0.2931  0.0671  1 Er 2.24, 1 Cd 2.29, 1 Ac 2.51
O  0.8576  0.6945  0.5586  1 Er 2.22, 1 Cd 2.29
O  0.8576  0.8055  0.0586  1 Er 2.22, 1 Cd 2.29

Results
Space-group type   P2_1/c, No. 14
Formation energy without anion corrections   -62.50 kcal/mol of atoms

---

(11)
Density functional theory data (PBE) for an optimized crystal structure of AcErCdPt.

Cell lengths 5.3180, 5.3180, 5.3180 Å; angles 60.00, 60.00, 60.00 degrees
With the nearest neighbours (Å) after each atom.
Element x y z (fractional)
Ac  0.0000  0.0000  0.0000  4 Pt 3.26, 4 Cd 3.26
Er  0.5000  0.5000  0.5000  4 Cd 3.26, 4 Pt 3.26
Cd  0.7500  0.7500  0.7500  4 Er 3.26, 4 Ac 3.26
Pt  0.2500  0.2500  0.2500  4 Er 3.26, 4 Ac 3.26

Results
Space-group type   F-43m, No. 216
Formation energy   -0.591 eV/atom

---

(12)
Density functional theory data (PBE) for an optimized crystal structure of AcErPuCd.

Cell lengths 5.6027, 5.6027, 5.6027 Å; angles 60.00, 60.00, 60.00 degrees
With the nearest neighbours (Å) after each atom.
Element x y z (fractional)
Ac  0.0000  0.0000  0.0000  4 Cd 3.43, 4 Pu 3.43
Er  0.5000  0.5000  0.5000  4 Pu 3.43, 4 Cd 3.43
Pu  0.2500  0.2500  0.2500  4 Er 3.43, 4 Ac 3.43
Cd  0.7500  0.7500  0.7500  4 Er 3.43, 4 Ac 3.43

Results
Space-group type   F-43m, No. 216
Formation energy   0.130 eV/atom

---

(13)
Density functional theory data (PBE) for an optimized crystal structure of AcErCdRu.

Cell lengths 5.2443, 5.2443, 5.2443 Å; angles 60.00, 60.00, 60.00 degrees
With the nearest neighbours (Å) after each atom.
Element x y z (fractional)
Ac  0.0000  0.0000  0.0000  4 Cd 3.21, 4 Ru 3.21
Er  0.5000  0.5000  0.5000  4 Cd 3.21, 4 Ru 3.21
Cd  0.7500  0.7500  0.7500  4 Ac 3.21, 4 Er 3.21
Ru  0.2500  0.2500  0.2500  4 Ac 3.21, 4 Er 3.21

Results
Space-group type   F-43m, No. 216
Formation energy   -0.108 eV/atom

---

(14)
Density functional theory data (PBE) for an optimized crystal structure of AcErCdSb.

Cell lengths 5.5414, 5.5414, 5.5414 Å; angles 60.00, 60.00, 60.00 degrees
With the nearest neighbours (Å) after each atom.
Element x y z (fractional)
Ac  0.0000  0.0000  0.0000  4 Sb 3.39, 4 Cd 3.39
Er  0.5000  0.5000  0.5000  4 Cd 3.39, 4 Sb 3.39
Cd  0.2500  0.2500  0.2500  4 Ac 3.39, 4 Er 3.39
Sb  0.7500  0.7500  0.7500  4 Ac 3.39, 4 Er 3.39

Results
Space-group type   F-43m, No. 216
Formation energy without anion corrections   -11.17 kcal/mol of atoms

---

(15)
Density functional theory data (PBE) for an optimized crystal structure of AcErScCd.

Cell lengths 5.4865, 5.4865, 5.4865 Å; angles 60.00, 60.00, 60.00 degrees
With the nearest neighbours (Å) after each atom.
Element x y z (fractional)
Ac  0.0000  0.0000  0.0000  4 Er 3.36, 4 Sc 3.36
Er  0.2500  0.2500  0.2500  4 Cd 3.36, 4 Ac 3.36
Sc  0.7500  0.7500  0.7500  4 Cd 3.36, 4 Ac 3.36
Cd  0.5000  0.5000  0.5000  4 Er 3.36, 4 Sc 3.36

Results
Space-group type   F-43m, No. 216
Formation energy   0.125 eV/atom

---

(16)
Density functional theory data (PBE) for an optimized crystal structure of AcErCdSi.

Cell lengths 5.3411, 5.3411, 5.3411 Å; angles 60.00, 60.00, 60.00 degrees
With the nearest neighbours (Å) after each atom.
Element x y z (fractional)
Ac  0.0000  0.0000  0.0000  4 Cd 3.27, 4 Si 3.27
Er  0.5000  0.5000  0.5000  4 Cd 3.27, 4 Si 3.27
Cd  0.7500  0.7500  0.7500  4 Er 3.27, 4 Ac 3.27
Si  0.2500  0.2500  0.2500  4 Er 3.27, 4 Ac 3.27

Results
Space-group type   F-43m, No. 216
Formation energy without anion corrections   -6.43 kcal/mol of atoms

---

(17)
Density functional theory data (PBE) for an optimized crystal structure of AcSmErCd.

Cell lengths 3.7854, 3.7854, 8.9992 Å; angles 90.00, 90.00, 90.00 degrees
With the nearest neighbours (Å) after each atom.
Element x y z (fractional)
Ac  0.0000  0.0000  0.0000  4 Er 3.73, 4 Sm 3.78, 4 Ac 3.79
Sm  0.5000  0.5000  0.7030  4 Cd 3.32
Er  0.5000  0.5000  0.2882  4 Cd 3.21
Cd  0.0000  0.0000  0.4847  4 Er 3.21, 4 Sm 3.32

Results
Space-group type   P4mm, No. 99
Formation energy   -0.121 eV/atom
Energy above the most stable polymorph in this dataset   0.00 eV per formula unit

---

(18)
Density functional theory data (PBE) for an optimized crystal structure of AcSmErCd.

Cell lengths 5.6398, 5.6398, 5.6398 Å; angles 60.00, 60.00, 60.00 degrees
With the nearest neighbours (Å) after each atom.
Element x y z (fractional)
Ac  0.0000  0.0000  0.0000  4 Er 3.45, 4 Sm 3.45
Sm  0.2500  0.2500  0.2500  4 Cd 3.45, 4 Ac 3.45
Er  0.7500  0.7500  0.7500  4 Cd 3.45, 4 Ac 3.45
Cd  0.5000  0.5000  0.5000  4 Er 3.45, 4 Sm 3.45

Results
Space-group type   F-43m, No. 216
Formation energy   0.077 eV/atom
Energy above the most stable polymorph in this dataset   0.79 eV per formula unit

---

(19)
Density functional theory data (PBE) for an optimized crystal structure of AcErCdSn.

Cell lengths 5.5244, 5.5244, 5.5244 Å; angles 60.00, 60.00, 60.00 degrees
With the nearest neighbours (Å) after each atom.
Element x y z (fractional)
Ac  0.0000  0.0000  0.0000  4 Sn 3.38, 4 Cd 3.38
Er  0.5000  0.5000  0.5000  4 Sn 3.38, 4 Cd 3.38
Cd  0.2500  0.2500  0.2500  4 Ac 3.38, 4 Er 3.38
Sn  0.7500  0.7500  0.7500  4 Ac 3.38, 4 Er 3.38

Results
Space-group type   F-43m, No. 216
Formation energy   -0.425 eV/atom

---

(20)
Density functional theory data (PBE) for an optimized crystal structure of Ac2ErCdTe5.

Cell lengths 10.0924, 10.0924, 13.7245 Å; angles 90.00, 90.00, 154.22 degrees
With the nearest neighbours (Å) after each atom.
Element x y z (fractional)
Ac  0.1170  0.8830  0.5000  8 Te 3.37-3.60
Ac  0.1323  0.8677  0.1240  8 Te 3.39-3.65
Ac  0.8677  0.1323  0.6240  8 Te 3.39-3.65
Ac  0.8830  0.1170  0.0000  8 Te 3.37-3.60
Er  0.1992  0.8008  0.8271  6 Te 3.07-3.14
Er  0.8008  0.1992  0.3271  6 Te 3.07-3.14
Cd  0.4424  0.5576  0.2681  4 Te 2.77-2.99
Cd  0.5576  0.4424  0.7681  4 Te 2.77-2.99
Te  0.0478  0.9522  0.8868  2 Cd 2.79, 1 Er 3.09
Te  0.2879  0.7121  0.4794  2 Er 3.08, 3 Ac 3.37-3.39
Te  0.3072  0.6928  0.1682  1 Cd 2.99, 2 Er 3.14
Te  0.3551  0.6449  0.8156  1 Er 3.07, 2 Ac 3.43
Te  0.4962  0.5038  0.5867  1 Cd 2.77
Te  0.5038  0.4962  0.0867  1 Cd 2.77
Te  0.6449  0.3551  0.3156  1 Er 3.07, 2 Ac 3.43
Te  0.6928  0.3072  0.6682  1 Cd 2.99, 2 Er 3.14
Te  0.7121  0.2879  0.9794  2 Er 3.08, 3 Ac 3.37-3.39
Te  0.9522  0.0478  0.3868  2 Cd 2.79, 1 Er 3.09

Results
Space-group type   Cmc2_1, No. 36
Formation energy without anion corrections   -28.97 kcal/mol of atoms

---

Number 1: E -0.1831 Ha/atom, M_tot 0.000 μB per atom. Number 2: E -0.1383 Ha/atom, M_tot 0.000 μB per atom. Number 3: E -0.1314 Ha/atom, M_tot 0.002 μB per atom. Number 4: E -0.0826 Ha/atom, M_tot 0.000 μB per atom. Number 5: E -0.1083 Ha/atom, M_tot 0.001 μB per atom. Number 6: E -0.0596 Ha/atom, M_tot 0.000 μB per atom. Number 7: E -0.0984 Ha/atom, M_tot 0.000 μB per atom. Number 8: E -0.1365 Ha/atom, M_tot 0.000 μB per atom. Number 9: E -0.1294 Ha/atom, M_tot 0.000 μB per atom. Number 10: E -0.2592 Ha/atom, M_tot 0.101 μB per atom. Number 11: E -0.1653 Ha/atom, M_tot 0.000 μB per atom. Number 12: E -0.2150 Ha/atom, M_tot 1.644 μB per atom. Number 13: E -0.1773 Ha/atom, M_tot 0.000 μB per atom. Number 14: E -0.1437 Ha/atom, M_tot 0.000 μB per atom. Number 15: E -0.1417 Ha/atom, M_tot 0.218 μB per atom. Number 16: E -0.1481 Ha/atom, M_tot 0.000 μB per atom. Number 17: E -0.1359 Ha/atom, M_tot 0.000 μB per atom. Number 18: E -0.1286 Ha/atom, M_tot 0.000 μB per atom. Number 19: E -0.1405 Ha/atom, M_tot 0.000 μB per atom. Number 20: E -0.1662 Ha/atom, M_tot 0.000 μB per atom.